Record 1
Computed, not measured: a relaxed Na4Pr3ThTe8 crystal at the GGA-PBE level of DFT.

* space-group type: R-3m, No. 166
* M_tot: 0.0 μB/f.u.
* formation energy from raw total energies: -1.274 eV per atom

Geometry as POSCAR:
```
Na4Pr3ThTe8
1.0
-1.398 1.833 8.770
-3.147 -8.591 1.293
8.216 1.232 -3.635
Pr Na Te Th
3 4 8 1
Direct
0.500 0.500 0.500 Pr
0.000 0.500 0.500 Pr
0.500 0.500 0.000 Pr
0.000 0.000 0.000 Na
0.500 0.000 0.500 Na
0.500 0.000 0.000 Na
0.000 0.000 0.500 Na
0.245 0.742 0.998 Te
0.755 0.258 0.511 Te
0.247 0.258 0.002 Te
0.252 0.256 0.504 Te
0.748 0.744 0.496 Te
0.245 0.742 0.489 Te
0.755 0.258 0.002 Te
0.753 0.742 0.998 Te
0.000 0.500 0.000 Th
```

---

Record 2
Computed, not measured: a relaxed CdCoBr4 crystal at the GGA-PBE level of DFT.

* offset from the most stable computed form: 1.4649 eV per atom
* space-group type: F-43m, No. 216
* M_tot: 1.0 μB/f.u.
* formation energy from raw total energies: 0.921 eV per atom

Geometry as POSCAR:
```
CdCoBr4
1.0
0.000 4.460 4.460
4.460 0.000 4.460
4.460 4.460 0.000
Br Cd Co
4 1 1
Direct
0.375 0.875 0.375 Br
0.875 0.375 0.375 Br
0.375 0.375 0.875 Br
0.375 0.375 0.375 Br
0.750 0.750 0.750 Cd
0.000 0.000 0.000 Co
```

---

Record 3
Computed, not measured: a relaxed TaSbTe2 crystal at the GGA-PBE level of DFT.

* space-group type: C2/m, No. 12
* M_tot: 0.0 μB/f.u.
* formation energy from raw total energies: 0.252 eV per atom

Geometry as POSCAR:
```
TaSbTe2
1.0
4.924 -0.001 -0.007
3.644 3.312 -0.007
1.016 0.393 6.310
Sb Te Ta
1 2 1
Direct
0.750 0.750 0.750 Sb
0.971 0.971 0.046 Te
0.529 0.529 0.454 Te
0.250 0.250 0.250 Ta
```

---

Record 4
Computed, not measured: a relaxed LiInSnBi crystal at the GGA-PBE level of DFT.

* offset from the most stable computed form: 0.0000 eV per atom
* space-group type: P4mm, No. 99
* M_tot: 0.0 μB/f.u.
* energy relative to the elements: -145 meV/atom

Geometry as POSCAR:
```
LiInSnBi
1.0
-2.291 2.485 0.459
-2.233 -2.280 1.202
3.044 1.303 8.123
Li Bi In Sn
1 1 1 1
Direct
0.608 0.930 0.330 Li
0.107 0.430 0.549 Bi
0.609 0.929 0.856 In
0.107 0.430 0.125 Sn
```

---

Which value of M_tot does entry 4 give? 0.0 μB/f.u.